Entry 1:
First-principles (GGA-PBE) data for a relaxed structure of Ca2Sn3Hg6, as listed in Alexandria via LeMat-Bulk.

Summary:
For the final energy, the calculation gives -1.76 eV per atom.

a b c (Å): 4.5837 4.5837 30.0444
angles (deg): 90.00 90.00 90.00
With the nearest neighbours (Å) after each atom.
Space group I4/mmm (No. 139)
Asymmetric unit:
Ca 0.0000 0.0000 0.1554 (multiplicity 4)  5 Hg 3.16-3.43, 4 Sn 3.27
Sn 0.0000 0.0000 0.3602 (multiplicity 4)  5 Hg 3.00-3.10, 4 Ca 3.27
Sn 0.0000 0.0000 0.5000 (multiplicity 2)  8 Hg 3.12
Hg 0.0000 0.0000 0.2604 (multiplicity 4)  1 Sn 3.00, 1 Ca 3.16, 4 Hg 3.30
Hg 0.0000 0.5000 0.0703 (multiplicity 8)  4 Sn 3.10-3.12, 4 Hg 3.24, 2 Ca 3.43

---

Entry 2:
First-principles (GGA-PBE) data for a relaxed structure of CaSnHg, as listed in Alexandria via LeMat-Bulk.

Summary:
For the final energy, the calculation gives -2.56 eV per atom.

a b c (Å): 6.6137 4.9279 10.0334
angles (deg): 90.00 90.00 90.00
With the nearest neighbours (Å) after each atom.
Space group Pnma (No. 62)
Asymmetric unit:
Ca 0.1328 0.2500 0.1143 (multiplicity 4)  5 Hg 3.26-3.34, 5 Sn 3.32-3.42
Sn 0.1247 0.2500 0.4500 (multiplicity 4)  2 Sn 3.13, 5 Ca 3.32-3.42, 3 Hg 3.33-3.34
Hg 0.1480 0.2500 0.7820 (multiplicity 4)  5 Ca 3.26-3.34, 3 Sn 3.33-3.34, 2 Hg 3.37

---

Entry 3:
First-principles (GGA-PBE) data for a relaxed structure of CaSnHg, as listed in Alexandria via LeMat-Bulk.

Summary:
For the final energy, the calculation gives -2.53 eV per atom.

a b c (Å): 3.5565 5.8908 8.1314
angles (deg): 73.41 89.97 89.65
With the nearest neighbours (Å) after each atom.
Space group P-1 (No. 2)
Asymmetric unit:
Ca 0.0015 0.1067 0.1942 (multiplicity 2)  4 Hg 3.27-3.36, 6 Sn 3.35-3.48, 2 Ca 3.56
Sn 0.4977 0.3810 0.8443 (multiplicity 2)  2 Hg 3.02-3.12, 1 Sn 3.23, 2 Ca 3.35-3.36
Hg 0.4906 0.2476 0.4992 (multiplicity 2)  2 Hg 2.91-2.98, 2 Sn 3.02-3.12

---

Entry 4:
First-principles (GGA-PBE) data for a relaxed structure of CaSn2Hg, as listed in Alexandria via LeMat-Bulk.

Summary:
For the final energy, the calculation gives -2.95 eV per atom.

a b c (Å): 4.7285 4.7285 4.6690
angles (deg): 90.00 90.00 90.00
With the nearest neighbours (Å) after each atom.
Space group P4/mmm (No. 123)
Asymmetric unit:
Ca 0.0000 0.0000 0.0000 (multiplicity 1)  8 Sn 3.32, 4 Hg 3.34
Sn 0.0000 0.5000 0.5000 (multiplicity 2)  4 Hg 3.32, 4 Ca 3.32, 4 Sn 3.34
Hg 0.5000 0.5000 0.0000 (multiplicity 1)  8 Sn 3.32, 4 Ca 3.34

---

Entry 5:
First-principles (GGA-PBE) data for a relaxed structure of CaSn2Hg4, as listed in Alexandria via LeMat-Bulk.

Summary:
The value obtained for the energy above the lowest structure with this stoichiometry is 0.193 eV/f.u.

a b c (Å): 9.0993 5.2554 8.9754
angles (deg): 90.00 90.05 90.00
With the nearest neighbours (Å) after each atom.
Space group C2/m (No. 12)
Asymmetric unit:
Ca 0.0000 0.0000 0.0000 (multiplicity 2)  12 Hg 3.39-3.40
Sn 0.1667 0.5000 0.5009 (multiplicity 4)  2 Hg 2.97, 3 Sn 3.03
Hg 0.1663 0.5000 0.8315 (multiplicity 4)  1 Sn 2.97, 4 Hg 3.03-3.04
Hg 0.1671 0.5000 0.1700 (multiplicity 4)  1 Sn 2.97, 4 Hg 3.03-3.04

---

Entry 6:
First-principles (GGA-PBE) data for a relaxed structure of CaSn2Hg, as listed in Alexandria via LeMat-Bulk.

Summary:
For the final energy, the calculation gives -2.80 eV per atom.

a b c (Å): 4.5280 4.5280 22.6553
angles (deg): 90.00 90.00 90.00
With the nearest neighbours (Å) after each atom.
Space group I-42d (No. 122)
Asymmetric unit:
Ca 0.0000 0.0000 0.0000 (multiplicity 4)  4 Hg 3.20, 4 Sn 3.27
Sn 0.2399 0.2500 0.6250 (multiplicity 8)  4 Sn 3.14-3.27, 2 Hg 3.24, 2 Ca 3.27
Hg 0.0000 0.0000 0.5000 (multiplicity 4)  4 Ca 3.20, 4 Sn 3.24